No. 1
Ac3Ga7Ru2 GGA-PBE optimized geometry; magnetization = 0.00 μB/f.u.; calculated total energy = -4.7845 eV per atom; energy relative to the elements = -5.3 eV/f.u.
1.0
4.7814 0.0000 0.0000
0.0000 4.7814 0.0000
-2.3907 -2.3907 12.9063
Ac Ga Ru
3 7 2
direct
0.3138 0.3138 0.6276 Ac
0.6862 0.6862 0.3724 Ac
0.5000 0.5000 0.0000 Ac
0.0000 0.0000 0.0000 Ga
0.9060 0.4060 0.8119 Ga
0.4060 0.9060 0.8119 Ga
0.0940 0.5940 0.1881 Ga
0.5940 0.0940 0.1881 Ga
0.1910 0.1910 0.3820 Ga
0.8090 0.8090 0.6180 Ga
0.0932 0.0932 0.1864 Ru
0.9068 0.9068 0.8136 Ru



No. 2
AcIn8Ag4 GGA-PBE optimized geometry; magnetization = 0.00 μB/f.u.; calculated total energy = -3.0196 eV per atom; energy relative to the elements = -1.8 eV/f.u.
1.0
-5.4839 -1.9760 1.3447
-1.5613 -6.9235 -3.2352
-0.1170 -4.3047 6.5035
Ac In Ag
1 8 4
direct
0.0000 0.0000 0.0000 Ac
0.0000 0.3475 0.6525 In
0.0000 0.6525 0.3475 In
0.3475 0.6525 0.6525 In
0.6525 0.3475 0.3475 In
0.5000 0.7852 0.2148 In
0.5000 0.2148 0.7852 In
0.2852 0.2148 0.2148 In
0.7148 0.7852 0.7852 In
0.0000 0.0000 0.5000 Ag
0.5000 0.0000 0.5000 Ag
0.0000 0.5000 0.0000 Ag
0.5000 0.5000 0.0000 Ag